# 1
This record from Alexandria via LeMat-Bulk describes a relaxed structure of BaIn3Ga. The functional is PBE.

The value obtained for the energy relative to the elements is 0.8698 eV per atom. The calculation puts the energy above the most stable polymorph in this dataset at 1237.9 meV per atom.

It has space group Pm-3m (No. 221), with a = 6.406 Å, b = 6.406 Å, c = 6.406 Å, α = 90.00°, β = 90.00° and γ = 90.00°. Symmetry generates all atoms from Ba at (0.000, 0.000, 0.000), In at (0.000, 0.000, 0.500) and Ga at (0.500, 0.500, 0.500).

=====

# 2
This record from Alexandria via LeMat-Bulk describes a relaxed structure of Ba2InGaIr. The functional is PBE.

The value obtained for the energy relative to the elements is -0.2279 eV per atom.

It has space group P4/mmm (No. 123), with a = 6.124 Å, b = 6.124 Å, c = 4.833 Å, α = 90.00°, β = 90.00° and γ = 90.00°. Symmetry generates all atoms from Ba at (0.000, 0.500, 0.000), In at (0.000, 0.000, 0.500), Ga at (0.500, 0.500, 0.500) and Ir at (0.500, 0.500, 0.000).

=====

Total magnetic moment (μB per formula unit)
0.0; 0.0